Na7Mn4Fe8P12O48: optimized geometry, PBE+U.

* calculated total energy: -6.99 eV per atom

Structure (POSCAR):
```
Na7Mn4Fe8P12O48
1.0
-5.328 7.006 3.129
1.585 -1.882 9.011
6.758 8.654 5.135
O P Fe Mn Na
48 12 8 4 7
Cartesian
5.005 8.518 7.455
0.789 4.576 10.373
-2.418 6.448 3.324
6.724 7.908 9.426
-2.748 8.989 4.675
1.090 8.637 14.263
4.022 9.037 10.039
-3.095 7.084 8.222
5.731 8.289 12.134
-0.447 4.021 7.711
0.316 1.206 0.760
2.489 12.510 8.115
0.634 1.889 3.212
4.437 6.360 8.782
-0.765 5.569 5.702
2.706 3.898 8.555
0.482 1.378 7.861
4.691 10.475 12.724
-0.381 6.738 10.987
-0.353 12.652 7.396
3.255 6.093 11.226
1.960 10.549 10.023
5.997 5.217 11.277
3.027 10.659 6.429
-0.998 2.385 10.155
3.668 6.851 13.645
0.867 6.171 7.579
1.782 8.077 9.384
4.383 4.199 6.672
3.181 3.526 4.080
1.762 6.258 4.023
-2.007 2.706 3.047
-1.001 8.357 6.593
3.179 2.001 6.890
2.209 8.806 11.799
3.577 6.808 6.441
-1.754 4.958 10.019
-0.440 9.698 11.810
0.383 10.092 7.590
-3.436 6.362 5.788
2.351 13.019 16.218
1.394 6.030 12.952
1.355 4.266 5.942
-0.462 1.742 5.583
0.767 13.330 9.980
2.937 11.174 14.535
2.281 1.795 10.475
3.309 13.275 12.769
-0.518 5.199 10.927
3.777 3.164 7.698
0.249 5.032 6.751
3.607 11.832 7.239
2.485 9.108 10.284
4.774 6.984 7.404
-0.834 9.900 6.644
-0.775 1.153 7.002
2.946 5.848 12.731
1.023 2.191 1.711
1.792 11.844 15.393
-3.817 6.093 7.292
0.919 2.842 9.169
5.597 9.701 8.938
0.817 11.599 8.806
-1.712 7.207 5.141
3.078 5.272 5.246
5.097 7.078 10.659
0.390 7.925 12.413
-2.149 3.521 8.704
-4.566 6.026 3.777
3.289 9.025 13.728
1.720 2.189 5.242
2.254 5.930 9.272
-0.457 4.539 3.520
2.067 -0.294 7.442
1.519 11.749 12.093
1.929 8.399 6.997
6.147 7.388 14.255
4.164 3.474 10.897
-0.641 7.599 8.809
```